UHgTe2O8 | PBE | optimized geometry

Computed properties:
Crystal system = monoclinic
Formation energy without anion corrections = -19.1 eV per formula unit

Cell lengths 12.8208, 6.0753, 5.6737 Å; angles 90.00, 112.73, 90.00 degrees
With the nearest neighbours (Å) after each atom.
Space group C2/m (No. 12)
Symmetry-distinct sites (fractional):
U 0.0000 0.0000 0.0000 (multiplicity 2)  2 O 1.83
Hg 0.0000 0.5000 0.5000 (multiplicity 2)  2 O 2.09
Te 0.2095 0.5000 0.2028 (multiplicity 4)  3 O 1.91
O 0.0671 0.0000 0.3493 (multiplicity 4)  1 U 1.83
O 0.1203 0.2724 0.9868 (multiplicity 8)  1 Te 1.91
O 0.1592 0.5000 0.4790 (multiplicity 4)  1 Te 1.91, 1 Hg 2.09